Below is a relaxed PtSe2 crystal, with properties calculated at the PBE-GGA level.

Values from the calculation:
The calculated volume is 133 Å³ per cell. The calculated total energy is -4.62 eV/atom. The value obtained for the formation energy (no corrections) is -0.285 eV per atom.

Geometry as CIF:
```
data_PtSe2
_chemical_formula_sum 'Pt2 Se4'
_symmetry_space_group_name_H-M 'C m m m'
_symmetry_Int_Tables_number 65
_symmetry_space_group_name_Hall '-C 2 2'
_cell_length_a 3.737
_cell_length_b 12.596
_cell_length_c 2.830
_cell_angle_alpha 90.00
_cell_angle_beta 90.00
_cell_angle_gamma 90.00
loop_
_atom_site_label
_atom_site_fract_x
_atom_site_fract_y
_atom_site_fract_z
Pt1 0.000 0.000 0.000
Se1 0.000 0.370 0.000
```